Record 1
# LaZrBe2 | the Alexandria database | PBE | optimized geometry
# Raw total energy = -0.1664 Ha/atom
# Calculated formation energy = 0.703 eV per atom
# Relative energy among the computed polymorphs = 242 kJ/mol of formula units
data_LaZrBe2
_space_group_name_H-M_alt 'F -4 3 m'
_space_group_IT_number 216
_space_group_name_Hall 'F -4 2 3'
_cell_length_a 6.646
_cell_length_b 6.646
_cell_length_c 6.646
_cell_angle_alpha 90.00
_cell_angle_beta 90.00
_cell_angle_gamma 90.00
loop_
_atom_site_label
_atom_site_type_symbol
_atom_site_fract_x
_atom_site_fract_y
_atom_site_fract_z
La1 La 0.000 0.000 0.000
Zr1 Zr 0.250 0.250 0.250
Be1 Be 0.000 0.000 0.500
Be2 Be 0.250 0.250 0.750

---

Record 2
# Hf8Re3Sn2 | the Alexandria database | PBE | optimized geometry
# Raw total energy = -0.3581 Ha/atom
# Calculated formation energy = -0.131 eV per atom
data_Hf8Re3Sn2
_space_group_name_H-M_alt 'C m m m'
_space_group_IT_number 65
_space_group_name_Hall '-C 2 2'
_cell_length_a 9.246
_cell_length_b 13.781
_cell_length_c 4.649
_cell_angle_alpha 90.00
_cell_angle_beta 90.00
_cell_angle_gamma 90.00
loop_
_atom_site_label
_atom_site_type_symbol
_atom_site_fract_x
_atom_site_fract_y
_atom_site_fract_z
Hf1 Hf 0.000 0.110 0.000
Hf2 Hf 0.000 0.385 0.000
Hf3 Hf 0.247 0.112 0.500
Re1 Re 0.000 0.500 0.500
Re2 Re 0.249 0.000 0.000
Sn1 Sn 0.000 0.248 0.500

---

Record 3
# MnBiSe2 | the Alexandria database | PBE | optimized geometry
# Raw total energy = -0.1900 Ha/atom
# ΔE_f (raw) = -165 meV/atom
data_MnBiSe2
_space_group_name_H-M_alt 'P -1'
_space_group_IT_number 2
_space_group_name_Hall '-P 1'
_cell_length_a 4.273
_cell_length_b 7.178
_cell_length_c 7.600
_cell_angle_alpha 105.27
_cell_angle_beta 100.47
_cell_angle_gamma 105.81
loop_
_atom_site_label
_atom_site_type_symbol
_atom_site_fract_x
_atom_site_fract_y
_atom_site_fract_z
Mn1 Mn 0.158 0.491 0.422
Bi1 Bi 0.068 0.284 0.792
Se1 Se 0.261 0.699 0.885
Se2 Se 0.345 0.220 0.457

---

Record 4
# NbReN | the Alexandria database | PBE | optimized geometry
# Raw total energy = -0.3814 Ha/atom
# ΔE_f (raw) = -97 meV/atom
data_NbReN
_space_group_name_H-M_alt 'P -6 m 2'
_space_group_IT_number 187
_space_group_name_Hall 'P -6 2'
_cell_length_a 2.9316
_cell_length_b 2.9316
_cell_length_c 10.2183
_cell_angle_alpha 90.00
_cell_angle_beta 90.00
_cell_angle_gamma 120.00
loop_
_atom_site_label
_atom_site_type_symbol
_atom_site_fract_x
_atom_site_fract_y
_atom_site_fract_z
Nb1 Nb 0.0000 0.0000 0.2188
Re1 Re 0.0000 0.0000 0.5000
Re2 Re 0.3333 0.6667 0.0000
N1 N 0.3333 0.6667 0.3668

---

Record 5
# K2MgCuOs | the Alexandria database | PBE | optimized geometry
# Raw total energy = -0.0916 Ha/atom
# Calculated formation energy = 1.330 eV per atom
data_K2MgCuOs
_space_group_name_H-M_alt 'P 4/m m m'
_space_group_IT_number 123
_space_group_name_Hall '-P 4 2'
_cell_length_a 6.108
_cell_length_b 6.108
_cell_length_c 5.114
_cell_angle_alpha 90.00
_cell_angle_beta 90.00
_cell_angle_gamma 90.00
loop_
_atom_site_label
_atom_site_type_symbol
_atom_site_fract_x
_atom_site_fract_y
_atom_site_fract_z
K1 K 0.000 0.500 0.000
Mg1 Mg 0.000 0.000 0.500
Cu1 Cu 0.500 0.500 0.500
Os1 Os 0.000 0.000 0.000

---

Record 6
# MnSnIrPt | the Alexandria database | PBE | optimized geometry
# Raw total energy = -0.2676 Ha/atom
# Calculated formation energy = -0.264 eV per atom
data_MnSnIrPt
_space_group_name_H-M_alt 'P 1 2/m 1'
_space_group_IT_number 10
_space_group_name_Hall '-P 2y'
_cell_length_a 4.123
_cell_length_b 3.766
_cell_length_c 4.157
_cell_angle_alpha 90.00
_cell_angle_beta 90.09
_cell_angle_gamma 90.00
loop_
_atom_site_label
_atom_site_type_symbol
_atom_site_fract_x
_atom_site_fract_y
_atom_site_fract_z
Mn1 Mn 0.000 0.000 0.000
Sn1 Sn 0.500 0.000 0.500
Ir1 Ir 0.000 0.500 0.500
Pt1 Pt 0.500 0.500 0.000

---

Record 7
# SrAuSe2 | the Alexandria database | PBE | optimized geometry
# Raw total energy = -0.1426 Ha/atom
# ΔE_f (raw) = -898 meV/atom
# Relative energy among the computed polymorphs = 25 kJ/mol of formula units
data_SrAuSe2
_space_group_name_H-M_alt 'C 1 m 1'
_space_group_IT_number 8
_space_group_name_Hall 'C -2y'
_cell_length_a 12.187
_cell_length_b 4.222
_cell_length_c 4.678
_cell_angle_alpha 90.00
_cell_angle_beta 100.37
_cell_angle_gamma 90.00
loop_
_atom_site_label
_atom_site_type_symbol
_atom_site_fract_x
_atom_site_fract_y
_atom_site_fract_z
Sr1 Sr 0.000 0.000 0.000
Au1 Au 0.207 0.500 0.825
Se1 Se 0.017 0.500 0.506
Se2 Se 0.285 0.000 0.071

---

Record 8
# Ce2Y5Ho12 | the Alexandria database | PBE | optimized geometry
# Raw total energy = -0.1856 Ha/atom
# Calculated formation energy = 0.165 eV per atom
# Relative energy among the computed polymorphs = 48 kJ/mol of formula units
data_Ce2Y5Ho12
_space_group_name_H-M_alt 'C 1 2/m 1'
_space_group_IT_number 12
_space_group_name_Hall '-C 2y'
_cell_length_a 22.225
_cell_length_b 6.891
_cell_length_c 8.603
_cell_angle_alpha 90.00
_cell_angle_beta 111.65
_cell_angle_gamma 90.00
loop_
_atom_site_label
_atom_site_type_symbol
_atom_site_fract_x
_atom_site_fract_y
_atom_site_fract_z
Ce1 Ce 0.000 0.198 0.000
Y1 Y 0.000 0.500 0.500
Y2 Y 0.155 0.000 0.092
Y3 Y 0.247 0.500 0.487
Ho1 Ho 0.051 0.000 0.690
Ho2 Ho 0.105 0.241 0.376
Ho3 Ho 0.141 0.500 0.050
Ho4 Ho 0.201 0.246 0.789

---

Record 9
# Na2SmAlSn2 | the Alexandria database | PBE | optimized geometry
# Raw total energy = -0.1306 Ha/atom
# Calculated formation energy = -0.368 eV per atom
data_Na2SmAlSn2
_space_group_name_H-M_alt 'P m c 21'
_space_group_IT_number 26
_space_group_name_Hall 'P 2c -2'
_cell_length_a 4.594
_cell_length_b 9.252
_cell_length_c 7.677
_cell_angle_alpha 90.00
_cell_angle_beta 90.00
_cell_angle_gamma 90.00
loop_
_atom_site_label
_atom_site_type_symbol
_atom_site_fract_x
_atom_site_fract_y
_atom_site_fract_z
Na1 Na 0.000 0.081 0.000
Na2 Na 0.500 0.154 0.313
Sm1 Sm 0.500 0.453 0.969
Al1 Al 0.000 0.333 0.633
Sn1 Sn 0.000 0.376 0.253
Sn2 Sn 0.500 0.179 0.717

---

Record 10
# MgZrSc | the Alexandria database | PBE | optimized geometry
# Raw total energy = -0.2015 Ha/atom
# Calculated formation energy = 0.008 eV per atom
# Relative energy among the computed polymorphs = 17 kJ/mol of formula units
data_MgZrSc
_space_group_name_H-M_alt 'P 3 m 1'
_space_group_IT_number 156
_space_group_name_Hall 'P 3 -2"'
_cell_length_a 3.2041
_cell_length_b 3.2041
_cell_length_c 7.9573
_cell_angle_alpha 90.00
_cell_angle_beta 90.00
_cell_angle_gamma 120.00
loop_
_atom_site_label
_atom_site_type_symbol
_atom_site_fract_x
_atom_site_fract_y
_atom_site_fract_z
Mg1 Mg 0.0000 0.0000 0.0000
Zr1 Zr 0.3333 0.6667 0.6612
Sc1 Sc 0.6667 0.3333 0.3444

---

Record 11
# SrSnBiAu | the Alexandria database | PBE | optimized geometry
# Raw total energy = -0.1320 Ha/atom
# Calculated formation energy = -0.381 eV per atom
data_SrSnBiAu
_space_group_name_H-M_alt 'F -4 3 m'
_space_group_IT_number 216
_space_group_name_Hall 'F -4 2 3'
_cell_length_a 7.757
_cell_length_b 7.757
_cell_length_c 7.757
_cell_angle_alpha 90.00
_cell_angle_beta 90.00
_cell_angle_gamma 90.00
loop_
_atom_site_label
_atom_site_type_symbol
_atom_site_fract_x
_atom_site_fract_y
_atom_site_fract_z
Sr1 Sr 0.000 0.000 0.000
Sn1 Sn 0.000 0.000 0.500
Bi1 Bi 0.250 0.250 0.250
Au1 Au 0.250 0.250 0.750

---

Record 12
# V3P2C | the Alexandria database | PBE | optimized geometry
# Raw total energy = -0.3084 Ha/atom
# Calculated formation energy = -0.491 eV per atom
data_V3P2C
_space_group_name_H-M_alt 'C 1 2/c 1'
_space_group_IT_number 15
_space_group_name_Hall '-C 2yc'
_cell_length_a 6.351
_cell_length_b 8.983
_cell_length_c 5.295
_cell_angle_alpha 90.00
_cell_angle_beta 109.37
_cell_angle_gamma 90.00
loop_
_atom_site_label
_atom_site_type_symbol
_atom_site_fract_x
_atom_site_fract_y
_atom_site_fract_z
V1 V 0.173 0.079 0.494
V2 V 0.250 0.250 0.000
P1 P 0.000 0.294 0.250
P2 P 0.000 0.443 0.750
C1 C 0.000 0.094 0.750

---

What did the third record say?
# MnBiSe2 | the Alexandria database | PBE | optimized geometry
# Raw total energy = -0.1900 Ha/atom
# ΔE_f (raw) = -165 meV/atom
data_MnBiSe2
_space_group_name_H-M_alt 'P -1'
_space_group_IT_number 2
_space_group_name_Hall '-P 1'
_cell_length_a 4.273
_cell_length_b 7.178
_cell_length_c 7.600
_cell_angle_alpha 105.27
_cell_angle_beta 100.47
_cell_angle_gamma 105.81
loop_
_atom_site_label
_atom_site_type_symbol
_atom_site_fract_x
_atom_site_fract_y
_atom_site_fract_z
Mn1 Mn 0.158 0.491 0.422
Bi1 Bi 0.068 0.284 0.792
Se1 Se 0.261 0.699 0.885
Se2 Se 0.345 0.220 0.457

---

What is the raw total energy in the eleventh record? -0.1320 Ha/atom

---

What did the twelfth record say?
# V3P2C | the Alexandria database | PBE | optimized geometry
# Raw total energy = -0.3084 Ha/atom
# Calculated formation energy = -0.491 eV per atom
data_V3P2C
_space_group_name_H-M_alt 'C 1 2/c 1'
_space_group_IT_number 15
_space_group_name_Hall '-C 2yc'
_cell_length_a 6.351
_cell_length_b 8.983
_cell_length_c 5.295
_cell_angle_alpha 90.00
_cell_angle_beta 109.37
_cell_angle_gamma 90.00
loop_
_atom_site_label
_atom_site_type_symbol
_atom_site_fract_x
_atom_site_fract_y
_atom_site_fract_z
V1 V 0.173 0.079 0.494
V2 V 0.250 0.250 0.000
P1 P 0.000 0.294 0.250
P2 P 0.000 0.443 0.750
C1 C 0.000 0.094 0.750